{
  "formula": "HgMo2W",
  "functional": "GGA-PBE",
  "state": "optimized geometry",
  "magnetic_moment_mub_per_cell": 0.00,
  "ef_ev_per_atom": 0.547,
  "dos_at_fermi_per_ev_atom": 0.693,
  "crystal_system": "tetragonal",
  "spacegroup": "No. 119",
  "e_tot_ev_per_cell": -32.7,
  "lattice_angstrom": [[4.9969, -0.0002, 0.0000], [1.7210, 4.6912, 0.0000], [-3.3590, -2.3455, 2.8610]],
  "species": ["Mo", "Hg", "W", "Mo"],
  "fractional_positions": [[0.0000, 0.0000, 0.0000], [0.7500, 0.2500, 0.5000], [0.5000, 0.5000, 0.0000], [0.2500, 0.7500, 0.5000]]
}

=====

{
  "formula": "CeHo3Rh3",
  "functional": "GGA-PBE",
  "state": "optimized geometry",
  "magnetic_moment_mub_per_cell": 0.00,
  "ef_ev_per_atom": -0.697,
  "dos_at_fermi_per_ev_atom": 0.835,
  "crystal_system": "monoclinic",
  "spacegroup": "No. 12",
  "e_tot_ev_per_cell": -93.2,
  "lattice_angstrom": [[-4.4266, 4.9542, -1.5968], [-0.6409, -2.9839, -6.1134], [-5.1442, -3.9103, 2.5608]],
  "species": ["Rh", "Ho", "Rh", "Ho", "Ce", "Ho", "Ce", "Ho", "Ho", "Rh", "Rh", "Rh", "Rh", "Ho"],
  "fractional_positions": [[0.0702, 0.0702, 0.8084], [0.1768, 0.8232, 0.5000], [0.4902, 0.0255, 0.2824], [0.3297, 0.3297, 0.6185], [0.2464, 0.2464, 0.1284], [0.7446, 0.2554, 0.0000], [0.7536, 0.7536, 0.8716], [0.2554, 0.7446, 0.0000], [0.6703, 0.6703, 0.3815], [0.0255, 0.4902, 0.2824], [0.5098, 0.9745, 0.7176], [0.9298, 0.9298, 0.1916], [0.9745, 0.5098, 0.7176], [0.8232, 0.1768, 0.5000]]
}

=====

{
  "formula": "CeEuAgPb",
  "functional": "GGA-PBE",
  "state": "optimized geometry",
  "magnetic_moment_mub_per_cell": 8.23,
  "ef_ev_per_atom": -0.343,
  "dos_at_fermi_per_ev_atom": 3.263,
  "crystal_system": "cubic",
  "spacegroup": "No. 216",
  "e_tot_ev_per_cell": -24.1,
  "lattice_angstrom": [[-0.7117, -3.4017, -4.2604], [3.8626, -3.7157, -1.2262], [-0.9490, -5.3440, 0.8777]],
  "species": ["Ce", "Eu", "Ag", "Pb"],
  "fractional_positions": [[0.5000, 0.5000, 0.5000], [0.0000, 0.0000, 0.0000], [0.2500, 0.2500, 0.2500], [0.7500, 0.7500, 0.7500]]
}

=====

{
  "formula": "Mg4Si3",
  "functional": "GGA-PBE",
  "state": "optimized geometry",
  "magnetic_moment_mub_per_cell": 0.00,
  "dos_at_fermi_per_ev_atom": 0.354,
  "crystal_system": "triclinic",
  "e_above_lowest_polymorph_mev_per_atom": 102,
  "spacegroup": "No. 1",
  "formation_energy_uncorrected_ev_per_atom": 0.0699,
  "e_tot_ev_per_cell": -44.3,
  "lattice_angstrom": [[-3.3626, -3.7397, 2.4847], [6.8580, -0.9600, 2.7925], [-1.9396, 7.2056, 2.2213]],
  "species": ["Si", "Si", "Mg", "Si", "Mg", "Mg", "Mg", "Si", "Si", "Mg", "Si", "Mg", "Mg", "Mg"],
  "fractional_positions": [[0.8115, 0.9617, 0.6584], [0.4283, 0.7967, 0.0096], [0.5689, 0.4847, 0.0361], [0.4833, 0.2342, 0.5006], [0.8794, 0.6026, 0.5271], [0.9537, 0.3949, 0.8786], [0.3907, 0.0214, 0.7582], [0.8429, 0.8836, 0.3284], [0.0732, 0.2295, 0.5724], [0.4565, 0.6060, 0.6687], [0.2997, 0.3688, 0.2505], [0.7428, 0.2074, 0.2096], [0.0362, 0.9534, 0.0310], [0.2828, 0.7551, 0.3207]]
}

=====

{
  "formula": "GeB2Se",
  "functional": "GGA-PBE",
  "state": "optimized geometry",
  "magnetic_moment_mub_per_cell": 0.00,
  "dos_at_fermi_per_ev_atom": 0.680,
  "crystal_system": "cubic",
  "e_above_lowest_polymorph_mev_per_atom": 1353,
  "spacegroup": "No. 225",
  "formation_energy_uncorrected_ev_per_atom": 1.6166,
  "e_tot_ev_per_cell": -15.0,
  "lattice_angstrom": [[0.0000, 2.9578, 2.9578], [2.9578, 0.0000, 2.9578], [2.9578, 2.9578, 0.0000]],
  "species": ["Se", "B", "B", "Ge"],
  "fractional_positions": [[0.5000, 0.5000, 0.5000], [0.2500, 0.2500, 0.2500], [0.7500, 0.7500, 0.7500], [0.0000, 0.0000, 0.0000]]
}

=====

{
  "formula": "RbTlGe",
  "functional": "GGA-PBE",
  "state": "optimized geometry",
  "magnetic_moment_mub_per_cell": 0.00,
  "ef_ev_per_atom": 0.003,
  "dos_at_fermi_per_ev_atom": 0.008,
  "crystal_system": "hexagonal",
  "spacegroup": "No. 186",
  "e_tot_ev_per_cell": -15.9,
  "lattice_angstrom": [[4.0957, -2.3646, 0.0000], [0.0000, 4.7293, 0.0000], [0.0000, 0.0000, 11.5845]],
  "species": ["Ge", "Rb", "Tl", "Ge", "Tl", "Rb"],
  "fractional_positions": [[0.3333, 0.6667, 0.4825], [0.0000, 0.0000, 0.7526], [0.6667, 0.3333, 0.5149], [0.6667, 0.3333, 0.9825], [0.3333, 0.6667, 0.0149], [0.0000, 0.0000, 0.2526]]
}

=====

{
  "formula": "ZnNiBr",
  "functional": "GGA-PBE",
  "state": "optimized geometry",
  "magnetic_moment_mub_per_cell": 0.00,
  "dos_at_fermi_per_ev_atom": 0.734,
  "crystal_system": "monoclinic",
  "e_above_lowest_polymorph_mev_per_atom": 235,
  "spacegroup": "No. 6",
  "formation_energy_uncorrected_ev_per_atom": -0.0036,
  "e_tot_ev_per_cell": -17.5,
  "lattice_angstrom": [[-1.4809, -3.1927, -0.2336], [4.8853, -2.3679, 1.3912], [-0.7321, 1.7066, 5.4754]],
  "species": ["Br", "Br", "Zn", "Zn", "Ni", "Ni"],
  "fractional_positions": [[0.8690, 0.0000, 0.3568], [0.3285, 0.5000, 0.3288], [0.8657, 0.5000, 0.8816], [0.8628, 0.0000, 0.8836], [0.2694, 0.2536, 0.6655], [0.2694, 0.7464, 0.6655]]
}

=====

{
  "formula": "RbAsBr2",
  "functional": "GGA-PBE",
  "state": "optimized geometry",
  "magnetic_moment_mub_per_cell": 2.00,
  "dos_at_fermi_per_ev_atom": 1.740,
  "crystal_system": "cubic",
  "e_above_lowest_polymorph_mev_per_atom": 240,
  "spacegroup": "No. 225",
  "formation_energy_uncorrected_ev_per_atom": -0.2756,
  "e_tot_ev_per_cell": -10.1,
  "lattice_angstrom": [[-4.1141, -0.0271, 3.8626], [-3.8751, 4.1023, 0.0237], [-5.3104, -1.1260, -1.5418]],
  "species": ["Rb", "Br", "Br", "As"],
  "fractional_positions": [[0.5000, 0.5000, 0.5000], [0.2500, 0.2500, 0.2500], [0.7500, 0.7500, 0.7500], [0.0000, 0.0000, 0.0000]]
}

=====

{
  "formula": "PmAgBi",
  "functional": "GGA-PBE",
  "state": "optimized geometry",
  "magnetic_moment_mub_per_cell": 0.00,
  "ef_ev_per_atom": -0.449,
  "dos_at_fermi_per_ev_atom": 0.606,
  "crystal_system": "trigonal",
  "e_above_lowest_polymorph_mev_per_atom": 0,
  "spacegroup": "No. 156",
  "e_tot_ev_per_cell": -12.8,
  "lattice_angstrom": [[4.2816, 0.0000, 0.0000], [0.0000, 4.7292, 0.0000], [0.0000, -2.3646, 4.0956]],
  "species": ["Pm", "Ag", "Bi"],
  "fractional_positions": [[0.3090, 0.6667, 0.3333], [0.9355, 0.0000, 0.0000], [0.7556, 0.3333, 0.6667]]
}

=====

{
  "formula": "K2NiPb",
  "functional": "GGA-PBE",
  "state": "optimized geometry",
  "magnetic_moment_mub_per_cell": 0.45,
  "ef_ev_per_atom": 0.569,
  "dos_at_fermi_per_ev_atom": 0.285,
  "crystal_system": "trigonal",
  "spacegroup": "No. 166",
  "e_tot_ev_per_cell": -9.4,
  "lattice_angstrom": [[-3.7307, -2.2317, -10.5886], [-6.4538, -3.5811, -8.7487], [-6.3696, -0.1119, -9.5096]],
  "species": ["Pb", "K", "K", "Ni"],
  "fractional_positions": [[0.7500, 0.7500, 0.7500], [0.5112, 0.5112, 0.5112], [0.9888, 0.9888, 0.9888], [0.2500, 0.2500, 0.2500]]
}

=====

{
  "formula": "Ac2Tb4Pr7",
  "functional": "GGA-PBE",
  "state": "optimized geometry",
  "magnetic_moment_mub_per_cell": 0.00,
  "ef_ev_per_atom": 0.188,
  "dos_at_fermi_per_ev_atom": 1.379,
  "crystal_system": "trigonal",
  "spacegroup": "No. 162",
  "e_tot_ev_per_cell": -57.8,
  "lattice_angstrom": [[-5.5679, 1.3581, 2.8147], [4.6583, -2.8206, 3.3337], [4.7401, 12.0429, 3.5658]],
  "species": ["Pr", "Ac", "Tb", "Tb", "Tb", "Ac", "Pr", "Pr", "Pr", "Tb", "Pr", "Pr", "Pr"],
  "fractional_positions": [[0.0000, 0.3715, 0.7703], [0.6667, 0.3333, 0.0000], [0.3333, 0.6667, 0.5000], [0.6667, 0.3333, 0.5000], [0.0000, 0.0000, 0.6061], [0.3333, 0.6667, 0.0000], [0.0000, 0.6285, 0.2297], [0.3715, 0.3715, 0.2297], [0.0000, 0.0000, 0.0000], [0.0000, 0.0000, 0.3939], [0.6285, 0.0000, 0.2297], [0.3715, 0.0000, 0.7703], [0.6285, 0.6285, 0.7703]]
}

=====

{
  "formula": "MgZnGa2Ir2",
  "functional": "GGA-PBE",
  "state": "optimized geometry",
  "magnetic_moment_mub_per_cell": 0.00,
  "ef_ev_per_atom": -0.336,
  "dos_at_fermi_per_ev_atom": 0.626,
  "crystal_system": "trigonal",
  "spacegroup": "No. 164",
  "e_tot_ev_per_cell": -28.7,
  "lattice_angstrom": [[4.3660, 0.0000, 0.0000], [-2.1830, 3.7811, 0.0000], [0.0000, 0.0000, 5.4367]],
  "species": ["Ir", "Ga", "Mg", "Ir", "Zn", "Ga"],
  "fractional_positions": [[0.3333, 0.6667, 0.3014], [0.3333, 0.6667, 0.7989], [0.0000, 0.0000, 0.0000], [0.6667, 0.3333, 0.6986], [0.0000, 0.0000, 0.5000], [0.6667, 0.3333, 0.2011]]
}